The following is a PBE calculation of ZrIn3 after structural relaxation, from the Open Quantum Materials Database.

a = 10.025 Å, b = 10.025 Å, c = 10.025 Å
α = 155.02°, β = 155.02°, γ = 35.62°
Positions (direct):
In1 0.375 0.375 0.000
In2 0.625 0.625 0.000
In3 0.500 0.000 0.500
In4 0.750 0.250 0.500
In5 0.000 0.500 0.500
In6 0.250 0.750 0.500
Zr1 0.119 0.119 0.000
Zr2 0.881 0.881 0.000

Summary:
Its raw total energy is -4.406 eV per atom. As for the symmetry: I4/mmm (139). For the magnetic moment, the calculation gives 0.016 μB per cell.